Entry 1:
Crystalline Ti12Sn6Ru at its relaxed geometry, computed with PBE.

DOS(E_F) (states/eV per cell): 20.2
Total DFT energy (no corrections) (eV per atom): -6.92

a b c (Å): 7.055 7.055 7.055
angles (deg): 91.35 91.35 91.35
Element x y z (fractional)
Ti  0.529  0.449  0.795
Ti  0.205  0.471  0.551
Ti  0.940  0.858  0.628
Ti  0.060  0.142  0.372
Ti  0.551  0.205  0.471
Ti  0.471  0.551  0.205
Ti  0.142  0.372  0.060
Ti  0.628  0.940  0.858
Ti  0.858  0.628  0.940
Ti  0.449  0.795  0.529
Ti  0.795  0.529  0.449
Ti  0.372  0.060  0.142
Sn  0.740  0.281  0.122
Sn  0.281  0.122  0.740
Sn  0.122  0.740  0.281
Sn  0.878  0.260  0.719
Sn  0.260  0.719  0.878
Sn  0.719  0.878  0.260
Ru  0.000  0.000  0.000

***

Entry 2:
Crystalline Sc2AgTe at its relaxed geometry, computed with PBE.

ΔE_f (raw) (eV per atom): -0.05
DOS(E_F) (states/eV per cell): 3.6

a b c (Å): 8.464 8.464 8.464
angles (deg): 29.13 29.13 29.13
Element x y z (fractional)
Te  0.000  0.000  0.000
Sc  0.110  0.110  0.110
Sc  0.890  0.890  0.890
Ag  0.500  0.500  0.500

***

Entry 3:
Crystalline DyLuZnGe at its relaxed geometry, computed with PBE.

DOS(E_F) (states/eV per cell): 2.2
Total DFT energy (no corrections) (eV per atom): -4.26

a b c (Å): 4.964 4.964 4.964
angles (deg): 60.00 60.00 60.00
Element x y z (fractional)
Dy  0.500  0.500  0.500
Lu  0.000  0.000  0.000
Ge  0.750  0.750  0.750
Zn  0.250  0.250  0.250

***

DOS(E_F) of number 1 (Ti12Sn6Ru)?
20.2 states/eV per cell